Record 1
## MgZn2Ru (PBE-GGA)

Data for a relaxed structure of MgZn2Ru.

Summary:
ΔE_f   0.13 eV/atom
Calculated total energy   -3.22 eV/atom

a b c (Å): 2.794 2.794 8.906
angles (deg): 90.00 90.00 114.03
Positions (direct):
Mg (0.000, 0.000, 0.000)
Zn (0.500, 0.500, 0.267)
Zn (0.500, 0.500, 0.733)
Ru (0.000, 0.000, 0.500)

=====

Record 2
## Mg2ZnRu (PBE-GGA)

Data for a relaxed structure of Mg2ZnRu.

Summary:
ΔE_f   -0.03 eV/atom
Calculated total energy   -3.46 eV/atom

a b c (Å): 4.486 4.486 4.486
angles (deg): 60.00 60.00 60.00
Positions (direct):
Mg (0.000, 0.000, 0.000)
Mg (0.250, 0.250, 0.250)
Zn (0.500, 0.500, 0.500)
Ru (0.750, 0.750, 0.750)

=====

Record 3
## Mg2ZnRu (PBE-GGA)

Data for a relaxed structure of Mg2ZnRu.

Summary:
ΔE_f   -0.02 eV/atom
Calculated total energy   -3.45 eV/atom

a b c (Å): 2.860 4.592 4.982
angles (deg): 90.00 90.11 90.00
Positions (direct):
Mg (0.000, 0.000, 0.000)
Mg (0.003, 0.500, 0.644)
Zn (0.501, 0.000, 0.466)
Ru (0.501, 0.500, 0.157)

=====

Record 4
## MgZn2Ru (PBE-GGA)

Data for a relaxed structure of MgZn2Ru.

Summary:
ΔE_f   -0.11 eV/atom
Calculated total energy   -3.46 eV/atom

a b c (Å): 4.918 4.918 4.918
angles (deg): 136.95 132.37 66.13
Positions (direct):
Mg (0.000, 0.000, 0.000)
Zn (0.254, 0.754, 0.500)
Zn (0.746, 0.246, 0.500)
Ru (0.500, 0.500, 0.000)

=====

Record 5
## Mg5ZnRu (PBE-GGA)

Data for a relaxed structure of Mg5ZnRu.

Summary:
ΔE_f   0.03 eV/atom
Calculated total energy   -2.62 eV/atom

a b c (Å): 4.966 4.966 11.101
angles (deg): 90.00 90.00 76.95
Positions (direct):
Mg (0.052, 0.350, 0.606)
Mg (0.052, 0.350, 0.894)
Mg (0.178, 0.822, 0.750)
Mg (0.350, 0.052, 0.106)
Mg (0.350, 0.052, 0.394)
Mg (0.650, 0.948, 0.606)
Mg (0.650, 0.948, 0.894)
Mg (0.822, 0.178, 0.250)
Mg (0.948, 0.650, 0.106)
Mg (0.948, 0.650, 0.394)
Zn (0.412, 0.588, 0.250)
Zn (0.588, 0.412, 0.750)
Ru (0.500, 0.500, 0.000)
Ru (0.500, 0.500, 0.500)

=====

Record 6
## Mg2ZnRu (PBE-GGA)

Data for a relaxed structure of Mg2ZnRu.

Summary:
ΔE_f   -0.06 eV/atom
Calculated total energy   -3.49 eV/atom

a b c (Å): 4.253 4.253 3.535
angles (deg): 90.00 90.00 90.00
Positions (direct):
Mg (0.000, 0.500, 0.000)
Mg (0.500, 0.000, 0.000)
Zn (0.000, 0.000, 0.500)
Ru (0.500, 0.500, 0.500)